[1]
Material: CaNd7Sm3
Method: DFT, PBE
State: optimized geometry

```
CaNd7Sm3
1.0
-1.649 -8.595 1.283
2.279 0.593 6.901
-7.022 1.104 -1.628
Nd Sm Ca
7 3 1
Cartesian
-4.517 0.386 3.410
-2.114 -0.474 0.739
-0.029 -3.206 6.047
-1.026 -0.307 4.218
-5.671 0.085 -0.086
-3.510 -2.659 5.240
-1.159 -3.500 2.627
-3.646 -5.926 3.670
-0.190 -6.469 4.472
-2.524 -5.634 7.066
-4.654 -2.888 1.785
```

Density of states at the Fermi level ... 1.520 states/eV per atom
Formation energy from the elements ... 200 meV/atom
Magnetization ... 0.00 Bohr magnetons per cell
Symmetry ... No. 156

[2]
Material: Li2MoRh
Method: DFT, PBE
State: optimized geometry

```
Li2MoRh
1.0
2.601 0.049 0.000
-1.022 2.393 0.000
0.000 0.000 9.282
Li Mo Rh
2 1 1
Cartesian
0.000 0.000 9.096
0.000 0.000 4.827
0.790 1.221 2.321
0.790 1.221 6.962
```

Density of states at the Fermi level ... 1.165 states/eV per atom
Formation energy from the elements ... 145 meV/atom
Magnetization ... 0.09 Bohr magnetons per cell
Symmetry ... No. 65

Repeat the second record exactly.
Material: Li2MoRh
Method: DFT, PBE
State: optimized geometry

```
Li2MoRh
1.0
2.601 0.049 0.000
-1.022 2.393 0.000
0.000 0.000 9.282
Li Mo Rh
2 1 1
Cartesian
0.000 0.000 9.096
0.000 0.000 4.827
0.790 1.221 2.321
0.790 1.221 6.962
```

Density of states at the Fermi level ... 1.165 states/eV per atom
Formation energy from the elements ... 145 meV/atom
Magnetization ... 0.09 Bohr magnetons per cell
Symmetry ... No. 65

formation energy from the elements of number 2 (Li2MoRh)? 145 meV/atom